[1]
Here is Li2TlRh2 after structural relaxation from Alexandria. Energies are from GGA-PBEsol.

Cell lengths 7.1671, 7.1671, 7.1671 Å; angles 152.90, 152.90, 38.69 degrees
Fractional positions:
Li  0.2500  0.7500  0.5000
Li  0.7500  0.2500  0.5000
Tl  0.0000  0.0000  0.0000
Rh  0.3946  0.3946  0.0000
Rh  0.6054  0.6054  0.0000

Properties
Space group: I4/mmm, No. 139
ΔH_f (0 K): 0.2298 eV/atom

[2]
Here is Ga2SnHg2 after structural relaxation from Alexandria. Energies are from GGA-PBEsol.

Cell lengths 8.3572, 8.3572, 3.1495 Å; angles 90.00, 90.00, 90.00 degrees
Fractional positions:
Ga  0.1212  0.3787  0.0000
Ga  0.3787  0.8788  0.0000
Ga  0.6212  0.1212  0.0000
Ga  0.8788  0.6212  0.0000
Sn  0.0000  0.0000  0.5000
Sn  0.5000  0.5000  0.5000
Hg  0.1773  0.6773  0.5000
Hg  0.3227  0.1773  0.5000
Hg  0.6773  0.8227  0.5000
Hg  0.8227  0.3227  0.5000

Properties
Space group: P4/mbm, No. 127
Polymorph energy (0 for the lowest one): 0.000 eV per formula unit
ΔH_f (0 K): 0.0491 eV/atom

[3]
Here is ScZnSi after structural relaxation from Alexandria. Energies are from GGA-PBEsol.

Cell lengths 4.1450, 4.1450, 3.1991 Å; angles 90.00, 90.00, 120.00 degrees
Fractional positions:
Sc  0.0000  0.0000  0.0000
Zn  0.6667  0.3333  0.5000
Si  0.3333  0.6667  0.5000

Properties
Space group: P-6m2, No. 187
Energy relative to the elements, uncorrected: -0.57 eV/atom

[4]
Here is HfAgP2S after structural relaxation from Alexandria. Energies are from GGA-PBEsol.

Cell lengths 4.6165, 4.6165, 4.6456 Å; angles 90.00, 90.00, 90.00 degrees
Fractional positions:
Hf  0.0000  0.0000  0.0000
Ag  0.5000  0.5000  0.5000
P  0.0000  0.5000  0.5000
P  0.5000  0.0000  0.5000
S  0.5000  0.5000  0.0000

Properties
Space group: P4/mmm, No. 123
Energy relative to the elements, uncorrected: 0.74 eV/atom

[5]
Here is Li2SbPt after structural relaxation from Alexandria. Energies are from GGA-PBEsol.

Cell lengths 4.8245, 4.8245, 2.9675 Å; angles 90.00, 90.00, 111.71 degrees
Fractional positions:
Li  0.0000  0.5000  0.0000
Li  0.5000  0.0000  0.0000
Sb  0.0000  0.0000  0.5000
Pt  0.5000  0.5000  0.5000

Properties
Space group: Cmmm, No. 65
Energy relative to the elements, uncorrected: -0.47 eV/atom

[6]
Here is LiLa3Co after structural relaxation from Alexandria. Energies are from GGA-PBEsol.

Cell lengths 5.1368, 5.1368, 5.1368 Å; angles 90.00, 90.00, 90.00 degrees
Fractional positions:
Li  0.0000  0.0000  0.0000
La  0.0000  0.0000  0.5000
La  0.0000  0.5000  0.0000
La  0.5000  0.0000  0.0000
Co  0.5000  0.5000  0.5000

Properties
Space group: Pm-3m, No. 221
Polymorph energy (0 for the lowest one): 4.568 eV per formula unit
ΔH_f (0 K): 0.9430 eV/atom

[7]
Here is FeH12C2N2Cl4 after structural relaxation from Alexandria. Energies are from GGA-PBEsol.

Cell lengths 6.9395, 6.9395, 19.5084 Å; angles 90.00, 90.00, 90.00 degrees
Fractional positions:
Fe  0.0000  0.0000  0.0000
Fe  0.0000  0.5000  0.5000
Fe  0.5000  0.0000  0.5000
Fe  0.5000  0.5000  0.0000
H  0.0070  0.6635  0.1070
H  0.0070  0.8365  0.6070
H  0.0077  0.1913  0.6934
H  0.0077  0.3087  0.1934
H  0.0487  0.0487  0.2776
H  0.0487  0.4513  0.7776
H  0.0630  0.0630  0.5796
H  0.0630  0.4370  0.0796
H  0.1635  0.5070  0.8930
H  0.1635  0.9930  0.3930
H  0.1913  0.0077  0.6934
H  0.1913  0.4923  0.1934
H  0.3087  0.0077  0.1934
H  0.3087  0.4923  0.6934
H  0.3365  0.5070  0.3930
H  0.3365  0.9930  0.8930
H  0.4370  0.0630  0.0796
H  0.4370  0.4370  0.5796
H  0.4513  0.0487  0.7776
H  0.4513  0.4513  0.2776
H  0.4923  0.1913  0.1934
H  0.4923  0.3087  0.6934
H  0.4930  0.6635  0.6070
H  0.4930  0.8365  0.1070
H  0.5070  0.1635  0.8930
H  0.5070  0.3365  0.3930
H  0.5077  0.6913  0.3066
H  0.5077  0.8087  0.8066
H  0.5487  0.5487  0.7224
H  0.5487  0.9513  0.2224
H  0.5630  0.5630  0.4204
H  0.5630  0.9370  0.9204
H  0.6635  0.0070  0.1070
H  0.6635  0.4930  0.6070
H  0.6913  0.5077  0.3066
H  0.6913  0.9923  0.8066
H  0.8087  0.5077  0.8066
H  0.8087  0.9923  0.3066
H  0.8365  0.0070  0.6070
H  0.8365  0.4930  0.1070
H  0.9370  0.5630  0.9204
H  0.9370  0.9370  0.4204
H  0.9513  0.5487  0.2224
H  0.9513  0.9513  0.7224
H  0.9923  0.6913  0.8066
H  0.9923  0.8087  0.3066
H  0.9930  0.1635  0.3930
H  0.9930  0.3365  0.8930
C  0.0369  0.0369  0.6861
C  0.0369  0.4631  0.1861
C  0.4631  0.0369  0.1861
C  0.4631  0.4631  0.6861
C  0.5369  0.5369  0.3139
C  0.5369  0.9631  0.8139
C  0.9631  0.5369  0.8139
C  0.9631  0.9631  0.3139
N  0.0162  0.0162  0.3845
N  0.0162  0.4838  0.8845
N  0.4838  0.0162  0.8845
N  0.4838  0.4838  0.3845
N  0.5162  0.5162  0.6155
N  0.5162  0.9838  0.1155
N  0.9838  0.5162  0.1155
N  0.9838  0.9838  0.6155
Cl  0.0280  0.0280  0.8766
Cl  0.0280  0.4720  0.3766
Cl  0.2500  0.2500  0.0174
Cl  0.2500  0.2500  0.5174
Cl  0.2500  0.7500  0.0000
Cl  0.2500  0.7500  0.5000
Cl  0.4720  0.0280  0.3766
Cl  0.4720  0.4720  0.8766
Cl  0.5280  0.5280  0.1234
Cl  0.5280  0.9720  0.6234
Cl  0.7500  0.2500  0.0000
Cl  0.7500  0.2500  0.5000
Cl  0.7500  0.7500  0.4826
Cl  0.7500  0.7500  0.9826
Cl  0.9720  0.5280  0.6234
Cl  0.9720  0.9720  0.1234

Properties
Space group: P4_2/ncm, No. 138
Electronic total energy: -4.901 eV/atom

[8]
Here is LaFeOs2 after structural relaxation from Alexandria. Energies are from GGA-PBEsol.

Cell lengths 5.7445, 5.7445, 5.7445 Å; angles 152.08, 133.53, 55.08 degrees
Fractional positions:
La  0.0000  0.0000  0.0000
Fe  0.5000  0.5000  0.0000
Os  0.2850  0.7850  0.5000
Os  0.7150  0.2150  0.5000

Properties
Space group: Immm, No. 71
Polymorph energy (0 for the lowest one): 0.000 eV per formula unit
ΔH_f (0 K): 0.4628 eV/atom

[9]
Here is TlCdPb2 after structural relaxation from Alexandria. Energies are from GGA-PBEsol.

Cell lengths 6.3535, 6.3535, 6.3535 Å; angles 146.35, 128.91, 62.57 degrees
Fractional positions:
Tl  0.0000  0.0000  0.0000
Cd  0.2312  0.7312  0.5000
Pb  0.4669  0.4669  0.0000
Pb  0.7350  0.2350  0.5000

Properties
Space group: Imm2, No. 44
Polymorph energy (0 for the lowest one): 0.121 eV per formula unit
ΔH_f (0 K): 0.0572 eV/atom

[10]
Here is ZrZnIn2 after structural relaxation from Alexandria. Energies are from GGA-PBEsol.

Cell lengths 3.1122, 4.5731, 5.7558 Å; angles 90.00, 90.01, 90.00 degrees
Fractional positions:
Zr  0.0000  0.0000  0.0000
Zn  0.5014  0.5000  0.2239
In  0.4991  0.5000  0.7678
In  0.5011  0.0000  0.4722

Properties
Space group: Pm, No. 6
ΔH_f (0 K): -0.1535 eV/atom

[11]
Here is SiAu3Cl after structural relaxation from Alexandria. Energies are from GGA-PBEsol.

Cell lengths 4.7784, 4.7784, 4.7784 Å; angles 90.00, 90.00, 90.00 degrees
Fractional positions:
Si  0.0000  0.0000  0.0000
Au  0.0000  0.5000  0.5000
Au  0.5000  0.0000  0.5000
Au  0.5000  0.5000  0.0000
Cl  0.5000  0.5000  0.5000

Properties
Space group: Pm-3m, No. 221
Energy relative to the elements, uncorrected: 1.22 eV/atom

[12]
Here is MnP2HO after structural relaxation from Alexandria. Energies are from GGA-PBEsol.

Cell lengths 4.4514, 4.4514, 3.3506 Å; angles 90.00, 90.00, 90.00 degrees
Fractional positions:
Mn  0.0000  0.0000  0.0000
P  0.0000  0.5000  0.0000
P  0.5000  0.0000  0.0000
H  0.5000  0.5000  0.5000
O  0.0000  0.0000  0.5000

Properties
Space group: P4/mmm, No. 123
Electronic total energy: -5.673 eV/atom

[13]
Here is MnBrCl after structural relaxation from Alexandria. Energies are from GGA-PBEsol.

Cell lengths 4.6864, 4.6864, 4.6864 Å; angles 60.00, 60.00, 60.00 degrees
Fractional positions:
Mn  0.0000  0.0000  0.0000
Br  0.7500  0.7500  0.7500
Cl  0.5000  0.5000  0.5000

Properties
Space group: F-43m, No. 216
Polymorph energy (0 for the lowest one): 2.905 eV per formula unit
Energy relative to the elements, uncorrected: 0.15 eV/atom

[14]
Here is NaAgCl2 after structural relaxation from Alexandria. Energies are from GGA-PBEsol.

Cell lengths 7.8596, 7.8596, 7.8596 Å; angles 30.07, 30.07, 30.07 degrees
Fractional positions:
Na  0.0000  0.0000  0.0000
Ag  0.5000  0.5000  0.5000
Cl  0.3979  0.3979  0.3979
Cl  0.6021  0.6021  0.6021

Properties
Space group: R-3m, No. 166
Polymorph energy (0 for the lowest one): 0.038 eV per formula unit
Energy relative to the elements, uncorrected: -1.02 eV/atom

[15]
Here is LaCl2 after structural relaxation from Alexandria. Energies are from GGA-PBEsol.

Cell lengths 13.7115, 13.7115, 13.7115 Å; angles 165.22, 165.22, 20.96 degrees
Fractional positions:
La  0.3750  0.6250  0.7500
La  0.6250  0.3750  0.2500
Cl  0.0657  0.8157  0.2500
Cl  0.1843  0.9343  0.2500
Cl  0.8157  0.0657  0.7500
Cl  0.9343  0.1843  0.7500

Properties
Space group: I4_1/amd, No. 141
Energy relative to the elements, uncorrected: -2.13 eV/atom

[16]
Here is Cr2TcBr after structural relaxation from Alexandria. Energies are from GGA-PBEsol.

Cell lengths 3.2469, 3.3479, 5.8481 Å; angles 90.00, 90.00, 90.00 degrees
Fractional positions:
Cr  0.0000  0.0000  0.1678
Cr  0.0000  0.0000  0.8322
Tc  0.5000  0.5000  0.0000
Br  0.5000  0.5000  0.5000

Properties
Space group: Pmmm, No. 47
Energy relative to the elements, uncorrected: 0.61 eV/atom

[17]
Here is ZrHBr after structural relaxation from Alexandria. Energies are from GGA-PBEsol.

Cell lengths 3.3810, 3.3810, 9.9627 Å; angles 90.00, 90.00, 120.00 degrees
Fractional positions:
Zr  0.3333  0.6667  0.1457
Zr  0.6667  0.3333  0.8543
H  0.3333  0.6667  0.9413
H  0.6667  0.3333  0.0587
Br  0.3333  0.6667  0.6653
Br  0.6667  0.3333  0.3347

Properties
Space group: P-3m1, No. 164
Electronic total energy: -5.661 eV/atom